(1)
## In2AgHg6 (PBE)

Data for In2AgHg6 after structural relaxation.

**Space group**: No. 12
**V**: 233.74 Å³/f.u.
**Raw total energy**: -9.689 eV per cell
**Spin magnetization**: 0.00 μB/atom

Cell lengths 6.313, 6.313, 6.709 Å; angles 90.48, 90.48, 119.03 degrees
Fractional coordinates of all 9 atoms:
In (0.190, 0.810, 0.000)
In (0.810, 0.190, 0.000)
Ag (0.000, 0.000, 0.500)
Hg (0.167, 0.477, 0.345)
Hg (0.310, 0.310, 0.837)
Hg (0.477, 0.167, 0.345)
Hg (0.523, 0.833, 0.655)
Hg (0.690, 0.690, 0.163)
Hg (0.833, 0.523, 0.655)

---

(2)
## In6AgHg7 (PBE)

Data for In6AgHg7 after structural relaxation.

**Space group**: No. 72
**V**: 405.77 Å³/f.u.
**Raw total energy**: -40.773 eV per cell
**Spin magnetization**: 0.00 μB/atom

Cell lengths 13.073, 13.073, 13.073 Å; angles 154.75, 65.32, 120.87 degrees
Fractional coordinates of all 28 atoms:
In (0.070, 0.949, 0.652)
In (0.195, 0.155, 0.350)
In (0.204, 0.551, 0.121)
In (0.296, 0.418, 0.348)
In (0.305, 0.655, 0.959)
In (0.430, 0.082, 0.879)
In (0.570, 0.918, 0.121)
In (0.695, 0.345, 0.041)
In (0.704, 0.582, 0.652)
In (0.796, 0.449, 0.879)
In (0.805, 0.845, 0.650)
In (0.930, 0.051, 0.348)
Ag (0.250, 0.250, 0.000)
Ag (0.750, 0.750, 0.000)
Hg (0.020, 0.249, 0.268)
Hg (0.056, 0.558, 0.893)
Hg (0.165, 0.058, 0.501)
Hg (0.250, 0.750, 0.500)
Hg (0.335, 0.836, 0.893)
Hg (0.444, 0.336, 0.501)
Hg (0.480, 0.749, 0.229)
Hg (0.520, 0.251, 0.771)
Hg (0.556, 0.664, 0.499)
Hg (0.665, 0.164, 0.107)
Hg (0.750, 0.250, 0.500)
Hg (0.835, 0.942, 0.499)
Hg (0.944, 0.442, 0.107)
Hg (0.980, 0.751, 0.732)

---

(3)
## InAg2Hg (PBE)

Data for InAg2Hg after structural relaxation.

**Space group**: No. 119
**V**: 82.72 Å³/f.u.
**Raw total energy**: -8.554 eV per cell
**Spin magnetization**: 0.00 μB/atom

Cell lengths 5.278, 5.278, 5.278 Å; angles 130.65, 130.65, 72.37 degrees
Fractional coordinates of all 4 atoms:
In (0.000, 0.000, 0.000)
Ag (0.250, 0.750, 0.500)
Ag (0.500, 0.500, 0.000)
Hg (0.750, 0.250, 0.500)

---

(4)
## InAg2Hg (PBE)

Data for InAg2Hg after structural relaxation.

**Space group**: No. 122
**V**: 92.08 Å³/f.u.
**Raw total energy**: -16.145 eV per cell
**Spin magnetization**: 0.00 μB/atom

Cell lengths 6.326, 6.326, 6.326 Å; angles 102.37, 102.37, 124.85 degrees
Fractional coordinates of all 8 atoms:
In (0.000, 0.000, 0.000)
In (0.750, 0.250, 0.500)
Ag (0.124, 0.625, 0.999)
Ag (0.375, 0.374, 0.499)
Ag (0.626, 0.125, 0.001)
Ag (0.875, 0.876, 0.501)
Hg (0.250, 0.750, 0.500)
Hg (0.500, 0.500, 0.000)

---

(5)
## In8AgHg2 (PBE)

Data for In8AgHg2 after structural relaxation.

**Space group**: No. 12
**V**: 287.22 Å³/f.u.
**Raw total energy**: -25.019 eV per cell
**Spin magnetization**: 0.00 μB/atom

Cell lengths 9.349, 9.349, 6.738 Å; angles 98.22, 98.22, 29.54 degrees
Fractional coordinates of all 11 atoms:
In (0.028, 0.028, 0.251)
In (0.167, 0.167, 0.704)
In (0.346, 0.346, 0.609)
In (0.410, 0.410, 0.076)
In (0.590, 0.590, 0.924)
In (0.654, 0.654, 0.391)
In (0.833, 0.833, 0.296)
In (0.972, 0.972, 0.749)
Ag (0.500, 0.500, 0.500)
Hg (0.217, 0.217, 0.168)
Hg (0.783, 0.783, 0.832)

---

(6)
## In12Ag5Hg3 (PBE)

Data for In12Ag5Hg3 after structural relaxation.

**Space group**: No. 230
**V**: 582.56 Å³/f.u.
**Raw total energy**: -178.435 eV per cell
**Spin magnetization**: 0.00 μB/atom

Cell lengths 14.466, 14.466, 14.466 Å; angles 109.47, 109.47, 109.47 degrees
Fractional coordinates of all 80 atoms:
In (0.057, 0.226, 0.130)
In (0.057, 0.331, 0.926)
In (0.074, 0.630, 0.404)
In (0.074, 0.943, 0.669)
In (0.096, 0.726, 0.669)
In (0.096, 0.870, 0.426)
In (0.130, 0.057, 0.226)
In (0.130, 0.574, 0.904)
In (0.169, 0.226, 0.596)
In (0.169, 0.443, 0.574)
In (0.226, 0.130, 0.057)
In (0.226, 0.596, 0.169)
In (0.274, 0.331, 0.904)
In (0.274, 0.443, 0.370)
In (0.331, 0.904, 0.274)
In (0.331, 0.926, 0.057)
In (0.370, 0.274, 0.443)
In (0.370, 0.596, 0.926)
In (0.404, 0.074, 0.630)
In (0.404, 0.831, 0.774)
In (0.426, 0.096, 0.870)
In (0.426, 0.831, 0.557)
In (0.443, 0.370, 0.274)
In (0.443, 0.574, 0.169)
In (0.557, 0.426, 0.831)
In (0.557, 0.630, 0.726)
In (0.574, 0.169, 0.443)
In (0.574, 0.904, 0.130)
In (0.596, 0.169, 0.226)
In (0.596, 0.926, 0.370)
In (0.630, 0.404, 0.074)
In (0.630, 0.726, 0.557)
In (0.669, 0.074, 0.943)
In (0.669, 0.096, 0.726)
In (0.726, 0.557, 0.630)
In (0.726, 0.669, 0.096)
In (0.774, 0.404, 0.831)
In (0.774, 0.870, 0.943)
In (0.831, 0.557, 0.426)
In (0.831, 0.774, 0.404)
In (0.870, 0.426, 0.096)
In (0.870, 0.943, 0.774)
In (0.904, 0.130, 0.574)
In (0.904, 0.274, 0.331)
In (0.926, 0.057, 0.331)
In (0.926, 0.370, 0.596)
In (0.943, 0.669, 0.074)
In (0.943, 0.774, 0.870)
Ag (0.000, 0.000, 0.000)
Ag (0.000, 0.000, 0.500)
Ag (0.000, 0.500, 0.000)
Ag (0.000, 0.500, 0.500)
Ag (0.125, 0.750, 0.875)
Ag (0.125, 0.875, 0.250)
Ag (0.250, 0.125, 0.875)
Ag (0.250, 0.625, 0.375)
Ag (0.375, 0.250, 0.625)
Ag (0.375, 0.625, 0.750)
Ag (0.500, 0.000, 0.000)
Ag (0.500, 0.000, 0.500)
Ag (0.500, 0.500, 0.000)
Ag (0.500, 0.500, 0.500)
Ag (0.625, 0.375, 0.250)
Ag (0.625, 0.750, 0.375)
Ag (0.750, 0.375, 0.625)
Ag (0.750, 0.875, 0.125)
Ag (0.875, 0.125, 0.750)
Ag (0.875, 0.250, 0.125)
Hg (0.125, 0.250, 0.375)
Hg (0.125, 0.375, 0.750)
Hg (0.250, 0.375, 0.125)
Hg (0.250, 0.875, 0.625)
Hg (0.375, 0.125, 0.250)
Hg (0.375, 0.750, 0.125)
Hg (0.625, 0.250, 0.875)
Hg (0.625, 0.875, 0.750)
Hg (0.750, 0.125, 0.375)
Hg (0.750, 0.625, 0.875)
Hg (0.875, 0.625, 0.250)
Hg (0.875, 0.750, 0.625)

---

(7)
## In6Ag2Hg3 (PBE)

Data for In6Ag2Hg3 after structural relaxation.

**Space group**: No. 166
**V**: 271.01 Å³/f.u.
**Raw total energy**: -22.766 eV per cell
**Spin magnetization**: 0.00 μB/atom

Cell lengths 25.720, 25.720, 25.720 Å; angles 7.79, 7.79, 7.79 degrees
Fractional coordinates of all 11 atoms:
In (0.095, 0.095, 0.095)
In (0.183, 0.183, 0.183)
In (0.365, 0.365, 0.365)
In (0.635, 0.635, 0.635)
In (0.817, 0.817, 0.817)
In (0.905, 0.905, 0.905)
Ag (0.456, 0.456, 0.456)
Ag (0.544, 0.544, 0.544)
Hg (0.000, 0.000, 0.000)
Hg (0.270, 0.270, 0.270)
Hg (0.730, 0.730, 0.730)

---

(8)
## InAg8Hg2 (PBE)

Data for InAg8Hg2 after structural relaxation.

**Space group**: No. 12
**V**: 236.93 Å³/f.u.
**Raw total energy**: -24.424 eV per cell
**Spin magnetization**: 0.00 μB/atom

Cell lengths 7.425, 7.425, 5.179 Å; angles 102.98, 102.98, 59.21 degrees
Fractional coordinates of all 11 atoms:
In (0.000, 0.000, 0.000)
Ag (0.233, 0.233, 0.081)
Ag (0.241, 0.619, 0.213)
Ag (0.369, 0.369, 0.671)
Ag (0.381, 0.759, 0.787)
Ag (0.619, 0.241, 0.213)
Ag (0.631, 0.631, 0.329)
Ag (0.759, 0.381, 0.787)
Ag (0.767, 0.767, 0.919)
Hg (0.144, 0.144, 0.525)
Hg (0.856, 0.856, 0.475)

---

(9)
## In2Ag6Hg3 (PBE)

Data for In2Ag6Hg3 after structural relaxation.

**Space group**: No. 2
**V**: 231.85 Å³/f.u.
**Raw total energy**: -22.960 eV per cell
**Spin magnetization**: 0.00 μB/atom

Cell lengths 5.751, 5.867, 7.287 Å; angles 96.32, 100.13, 104.02 degrees
Fractional coordinates of all 11 atoms:
In (0.112, 0.063, 0.322)
In (0.888, 0.937, 0.678)
Ag (0.288, 0.229, 0.982)
Ag (0.392, 0.912, 0.664)
Ag (0.493, 0.426, 0.675)
Ag (0.507, 0.574, 0.325)
Ag (0.608, 0.088, 0.336)
Ag (0.712, 0.771, 0.018)
Hg (0.000, 0.500, 0.500)
Hg (0.203, 0.708, 0.003)
Hg (0.797, 0.292, 0.997)

---

(10)
## In2Ag3Hg2 (PBE)

Data for In2Ag3Hg2 after structural relaxation.

**Space group**: No. 199
**V**: 160.41 Å³/f.u.
**Raw total energy**: -28.305 eV per cell
**Spin magnetization**: 0.00 μB/atom

Cell lengths 7.470, 7.470, 7.470 Å; angles 109.47, 109.47, 109.47 degrees
Fractional coordinates of all 14 atoms:
In (0.000, 0.481, 0.500)
In (0.019, 0.019, 0.019)
In (0.481, 0.500, 0.000)
In (0.500, 0.000, 0.481)
Ag (0.002, 0.252, 0.750)
Ag (0.248, 0.250, 0.498)
Ag (0.250, 0.498, 0.248)
Ag (0.252, 0.750, 0.002)
Ag (0.498, 0.248, 0.250)
Ag (0.750, 0.002, 0.252)
Hg (0.000, 0.859, 0.500)
Hg (0.500, 0.000, 0.859)
Hg (0.641, 0.641, 0.641)
Hg (0.859, 0.500, 0.000)

---

(11)
## In4AgHg8 (PBE)

Data for In4AgHg8 after structural relaxation.

**Space group**: No. 8
**V**: 344.86 Å³/f.u.
**Raw total energy**: -15.804 eV per cell
**Spin magnetization**: 0.00 μB/atom

Cell lengths 10.375, 10.375, 14.282 Å; angles 133.20, 133.20, 18.13 degrees
Fractional coordinates of all 13 atoms:
In (0.000, 0.000, 0.000)
In (0.169, 0.169, 0.672)
In (0.519, 0.519, 0.403)
In (0.649, 0.649, 0.039)
Ag (0.351, 0.351, 0.775)
Hg (0.052, 0.052, 0.251)
Hg (0.322, 0.322, 0.173)
Hg (0.342, 0.342, 0.982)
Hg (0.623, 0.623, 0.807)
Hg (0.728, 0.728, 0.314)
Hg (0.730, 0.730, 0.528)
Hg (0.934, 0.934, 0.493)
Hg (0.949, 0.949, 0.720)

---

(12)
## InAgHg (PBE)

Data for InAgHg after structural relaxation.

**Space group**: No. 216
**V**: 76.08 Å³/f.u.
**Raw total energy**: -5.708 eV per cell
**Spin magnetization**: 0.00 μB/atom

Cell lengths 4.756, 4.756, 4.756 Å; angles 60.00, 60.00, 60.00 degrees
Fractional coordinates of all 3 atoms:
In (0.000, 0.000, 0.000)
Ag (0.250, 0.250, 0.250)
Hg (0.500, 0.500, 0.500)

---

(13)
## InAgHg2 (PBE)

Data for InAgHg2 after structural relaxation.

**Space group**: No. 119
**V**: 92.25 Å³/f.u.
**Raw total energy**: -5.890 eV per cell
**Spin magnetization**: 0.00 μB/atom

Cell lengths 5.441, 5.441, 5.441 Å; angles 130.00, 130.00, 73.41 degrees
Fractional coordinates of all 4 atoms:
In (0.000, 0.000, 0.000)
Ag (0.250, 0.750, 0.500)
Hg (0.500, 0.500, 0.000)
Hg (0.750, 0.250, 0.500)

---

(14)
## InAgHg2 (PBE)

Data for InAgHg2 after structural relaxation.

**Space group**: No. 8
**V**: 94.34 Å³/f.u.
**Raw total energy**: -5.958 eV per cell
**Spin magnetization**: 0.00 μB/atom

Cell lengths 3.301, 3.301, 9.803 Å; angles 100.74, 100.74, 64.87 degrees
Fractional coordinates of all 4 atoms:
In (0.000, 0.000, 0.000)
Ag (0.502, 0.502, 0.500)
Hg (0.251, 0.251, 0.732)
Hg (0.754, 0.754, 0.268)

---

(15)
## InAgHg3 (PBE)

Data for InAgHg3 after structural relaxation.

**Space group**: No. 36
**V**: 125.25 Å³/f.u.
**Raw total energy**: -12.390 eV per cell
**Spin magnetization**: 0.00 μB/atom

Cell lengths 9.186, 9.186, 6.246 Å; angles 90.00, 90.00, 151.62 degrees
Fractional coordinates of all 10 atoms:
In (0.127, 0.873, 0.500)
In (0.873, 0.127, 0.000)
Ag (0.324, 0.676, 0.721)
Ag (0.676, 0.324, 0.221)
Hg (0.105, 0.895, 0.980)
Hg (0.284, 0.716, 0.241)
Hg (0.490, 0.510, 0.931)
Hg (0.510, 0.490, 0.431)
Hg (0.716, 0.284, 0.741)
Hg (0.895, 0.105, 0.480)

---

(16)
## In7AgHg4 (PBE)

Data for In7AgHg4 after structural relaxation.

**Space group**: No. 164
**V**: 314.67 Å³/f.u.
**Raw total energy**: -22.772 eV per cell
**Spin magnetization**: 0.00 μB/atom

Cell lengths 4.941, 4.941, 14.881 Å; angles 90.00, 90.00, 120.00 degrees
Fractional coordinates of all 12 atoms:
In (0.000, 0.000, 0.000)
In (0.000, 0.000, 0.272)
In (0.000, 0.000, 0.728)
In (0.333, 0.667, 0.166)
In (0.333, 0.667, 0.434)
In (0.667, 0.333, 0.566)
In (0.667, 0.333, 0.834)
Ag (0.000, 0.000, 0.500)
Hg (0.333, 0.667, 0.662)
Hg (0.333, 0.667, 0.911)
Hg (0.667, 0.333, 0.089)
Hg (0.667, 0.333, 0.338)

---

(17)
## In12AgHg6 (PBE)

Data for In12AgHg6 after structural relaxation.

**Space group**: No. 166
**V**: 509.55 Å³/f.u.
**Raw total energy**: -36.714 eV per cell
**Spin magnetization**: 0.00 μB/atom

Cell lengths 8.057, 8.057, 8.057 Å; angles 82.18, 82.18, 82.18 degrees
Fractional coordinates of all 19 atoms:
In (0.084, 0.755, 0.755)
In (0.201, 0.505, 0.505)
In (0.245, 0.245, 0.916)
In (0.245, 0.916, 0.245)
In (0.495, 0.495, 0.799)
In (0.495, 0.799, 0.495)
In (0.505, 0.201, 0.505)
In (0.505, 0.505, 0.201)
In (0.755, 0.084, 0.755)
In (0.755, 0.755, 0.084)
In (0.799, 0.495, 0.495)
In (0.916, 0.245, 0.245)
Ag (0.000, 0.000, 0.000)
Hg (0.128, 0.128, 0.574)
Hg (0.128, 0.574, 0.128)
Hg (0.426, 0.872, 0.872)
Hg (0.574, 0.128, 0.128)
Hg (0.872, 0.426, 0.872)
Hg (0.872, 0.872, 0.426)

---

(18)
## In8Ag2Hg3 (PBE)

Data for In8Ag2Hg3 after structural relaxation.

**Space group**: No. 65
**V**: 345.94 Å³/f.u.
**Raw total energy**: -28.060 eV per cell
**Spin magnetization**: 0.00 μB/atom

Cell lengths 8.681, 8.681, 4.926 Å; angles 90.00, 90.00, 111.25 degrees
Fractional coordinates of all 13 atoms:
In (0.129, 0.871, 0.000)
In (0.132, 0.398, 0.500)
In (0.355, 0.645, 0.000)
In (0.398, 0.132, 0.500)
In (0.602, 0.868, 0.500)
In (0.645, 0.355, 0.000)
In (0.868, 0.602, 0.500)
In (0.871, 0.129, 0.000)
Ag (0.242, 0.758, 0.500)
Ag (0.758, 0.242, 0.500)
Hg (0.000, 0.000, 0.500)
Hg (0.276, 0.276, 0.000)
Hg (0.724, 0.724, 0.000)